No. 1
VASP calculation (PBE) on a relaxed Pa2VSi4Ir3 crystal.

Output
ΔE_f (raw), eV/f.u.: -8.56
Final energy, eV per atom: -8.49
N(E_F), states/eV/cell: 8.8
Density, g/cm3: 11.75
Space group: P-4m2 (115)
Magnetic moment, μB per formula unit: 2.31

Unit cell a=4.127 b=4.127 c=9.968 alpha=90.00 beta=90.00 gamma=90.00
Element x y z (fractional)
Si 0.000 0.000 0.000
Si 0.500 0.500 0.000
Si 0.000 0.500 0.365
Si 0.500 0.000 0.635
Ir 0.000 0.500 0.126
Ir 0.000 0.000 0.500
Ir 0.500 0.000 0.874
Pa 0.000 0.500 0.749
Pa 0.500 0.000 0.251
V 0.500 0.500 0.500

=====

No. 2
VASP calculation (PBE) on a relaxed CsZnP2Se crystal.

Output
ΔE_f (raw), eV/f.u.: -1.87
Final energy, eV per atom: -3.66
N(E_F), states/eV/cell: 3.1
Excess energy over the best structure of this formula in the dataset, meV/atom: 15
Density, g/cm3: 4.08
Space group: Amm2 (38)
Magnetic moment, μB per formula unit: 0.00

Unit cell a=3.663 b=4.299 c=17.520 alpha=90.00 beta=90.00 gamma=90.00
Element x y z (fractional)
Cs 0.000 0.500 0.309
Cs 0.000 0.000 0.809
P 0.000 0.000 0.526
P 0.500 0.500 0.950
P 0.000 0.500 0.026
P 0.500 0.000 0.450
Se 0.500 0.500 0.686
Se 0.500 0.000 0.186
Zn 0.000 0.000 0.100
Zn 0.000 0.500 0.600

=====

No. 3
VASP calculation (PBE) on a relaxed CuReOs2 crystal.

Output
Final energy, eV per atom: -9.47
N(E_F), states/eV/cell: 3.3
Excess energy over the best structure of this formula in the dataset, meV/atom: 101
Density, g/cm3: 18.48
Space group: Cm (8)
E_form, eV/atom: 0.2815
Magnetic moment, μB per formula unit: 0.00

Unit cell a=4.741 b=4.741 c=4.641 alpha=80.76 beta=80.76 gamma=33.41
Element x y z (fractional)
Os 0.991 0.991 0.001
Os 0.253 0.253 0.253
Cu 0.749 0.749 0.752
Re 0.507 0.507 0.495

=====

No. 4
VASP calculation (PBE) on a relaxed KBe2Ru crystal.

Output
Final energy, eV per atom: -3.65
N(E_F), states/eV/cell: 6.0
Excess energy over the best structure of this formula in the dataset, meV/atom: 578
Density, g/cm3: 2.83
Space group: I4_1/amd (141)
E_form, eV/atom: 0.8017
Magnetic moment, μB per formula unit: 0.00

Unit cell a=5.229 b=5.229 c=7.725 alpha=70.22 beta=70.22 gamma=90.00
Element x y z (fractional)
Be 0.875 0.125 0.250
Be 0.875 0.625 0.250
Be 0.375 0.125 0.750
Be 0.875 0.125 0.750
K 0.250 0.750 0.500
K 0.500 0.500 0.000
Ru 0.750 0.250 0.500
Ru 0.000 0.000 0.000

=====

Question: Which value of density does entry 4 give?
Answer: 2.83 g/cm3